La3NdTl PBE-GGA optimized geometry; offset from the most stable computed form = 0.000 eV per atom; VASP energy = -45.44 eV per cell; space-group type = Cmcm (63); N(E_F) = 12.68 states/eV/cell; total magnetic moment = 0.00 μB/cell; formation enthalpy at 0 K = -161 meV per atom
1.0
2.486 -13.335 0.000
2.486 13.335 0.000
0.000 0.000 4.985
La Nd Tl
6 2 2
Cartesian
2.486 11.932 3.739 La
2.486 6.663 3.739 La
2.486 1.524 3.739 La
2.486 -1.524 1.246 La
2.486 -6.663 1.246 La
2.486 -11.932 1.246 La
2.486 4.076 1.246 Nd
2.486 -4.076 3.739 Nd
2.486 9.259 1.246 Tl
2.486 -9.259 3.739 Tl

=====

La6NdTl2 PBE-GGA optimized geometry; VASP energy = -81.18 eV per cell; space-group type = C2/c (15); N(E_F) = 22.92 states/eV/cell; total magnetic moment = 0.00 μB/cell; formation enthalpy at 0 K = -169 meV per atom
1.0
8.209 -6.025 0.000
8.209 6.025 0.000
-0.994 0.000 6.032
La Nd Tl
12 2 4
Cartesian
6.320 4.652 5.787 La
4.098 1.480 0.980 La
8.607 4.652 3.262 La
5.596 1.328 4.211 La
3.601 -1.480 3.997 La
6.093 -1.328 1.195 La
9.331 1.328 4.837 La
11.823 1.480 2.036 La
9.828 -1.328 1.821 La
6.817 -4.652 2.771 La
11.325 -1.480 5.052 La
9.104 -4.652 0.246 La
7.961 1.804 1.508 Nd
7.463 -1.804 4.524 Nd
1.946 1.670 3.644 Tl
2.443 -1.670 0.627 Tl
12.981 1.670 5.405 Tl
13.478 -1.670 2.389 Tl

=====

La2Nd8Tl PBE-GGA optimized geometry; offset from the most stable computed form = 0.063 eV per atom; VASP energy = -50.11 eV per cell; space-group type = Immm (71); N(E_F) = 15.61 states/eV/cell; total magnetic moment = 0.00 μB/cell; formation enthalpy at 0 K = 23 meV per atom
1.0
-2.844 3.885 8.857
2.844 -3.885 8.857
2.844 3.885 -8.857
La Nd Tl
2 8 1
Cartesian
0.000 0.000 3.406 La
0.000 0.000 14.307 La
2.844 1.770 -2.407 Nd
0.000 1.881 0.000 Nd
2.844 0.000 5.751 Nd
2.844 1.770 2.407 Nd
0.000 2.115 6.450 Nd
0.000 3.885 3.106 Nd
0.000 5.890 0.000 Nd
0.000 2.115 11.264 Nd
0.000 0.000 8.857 Tl

=====

La4Nd6Tl PBE-GGA optimized geometry; VASP energy = -50.35 eV per cell; space-group type = P1 (1); N(E_F) = 15.14 states/eV/cell; total magnetic moment = 0.00 μB/cell; formation enthalpy at 0 K = 30 meV per atom
1.0
3.734 0.000 0.000
-0.009 8.771 0.000
0.000 -4.057 12.019
La Nd Tl
4 6 1
Cartesian
0.000 0.000 0.000 La
-0.002 -0.103 11.982 La
1.856 2.199 6.060 La
1.865 -1.802 5.528 La
1.865 -2.543 9.593 Nd
1.864 1.449 2.528 Nd
1.860 2.564 9.671 Nd
1.866 6.522 1.956 Nd
3.727 -0.090 8.174 Nd
3.726 4.198 3.764 Nd
3.723 4.695 7.299 Tl

=====

La3Nd3Tl2 PBE-GGA optimized geometry; offset from the most stable computed form = 0.097 eV per atom; VASP energy = -69.66 eV per cell; space-group type = Cmcm (63); N(E_F) = 19.59 states/eV/cell; total magnetic moment = 0.00 μB/cell; formation enthalpy at 0 K = -127 meV per atom
1.0
2.735 -6.292 0.000
2.735 6.292 0.000
0.000 0.000 15.908
La Nd Tl
6 6 4
Cartesian
2.735 5.749 9.717 La
2.735 5.749 14.145 La
2.735 2.712 11.931 La
2.735 -2.712 3.977 La
2.735 -5.749 1.763 La
2.735 -5.749 6.191 La
2.735 1.670 8.464 Nd
2.735 1.670 15.398 Nd
2.735 0.783 3.977 Nd
2.735 -0.783 11.931 Nd
2.735 -1.670 0.510 Nd
2.735 -1.670 7.444 Nd
2.735 3.504 2.101 Tl
2.735 3.504 5.853 Tl
2.735 -3.504 10.055 Tl
2.735 -3.504 13.807 Tl

=====

LaNd4Tl7 PBE-GGA optimized geometry; VASP energy = -42.68 eV per cell; space-group type = C2/m (12); N(E_F) = 9.37 states/eV/cell; total magnetic moment = 0.00 μB/cell; formation enthalpy at 0 K = -176 meV per atom
1.0
6.707 -2.943 0.000
6.707 2.943 0.000
-6.658 0.000 9.904
La Nd Tl
1 4 7
Cartesian
0.000 0.000 0.000 La
-2.613 0.000 7.744 Nd
0.868 0.000 6.576 Nd
5.888 0.000 3.328 Nd
9.369 0.000 2.160 Nd
-1.815 0.000 4.560 Tl
1.114 0.000 3.173 Tl
3.621 0.000 1.008 Tl
6.707 0.000 0.000 Tl
3.135 0.000 8.897 Tl
5.642 0.000 6.731 Tl
8.571 0.000 5.344 Tl

=====

La9NdTl2 PBE-GGA optimized geometry; VASP energy = -55.63 eV per cell; space-group type = P4/mmm (123); N(E_F) = 17.09 states/eV/cell; total magnetic moment = 0.00 μB/cell; formation enthalpy at 0 K = -148 meV per atom
1.0
5.112 0.000 0.000
0.000 5.112 0.000
0.000 0.000 15.543
La Nd Tl
9 1 2
Cartesian
0.000 0.000 0.000 La
0.000 0.000 5.267 La
0.000 0.000 10.277 La
0.000 2.556 2.682 La
0.000 2.556 7.772 La
0.000 2.556 12.861 La
2.556 0.000 2.682 La
2.556 0.000 7.772 La
2.556 0.000 12.861 La
2.556 2.556 0.000 Nd
2.556 2.556 5.243 Tl
2.556 2.556 10.300 Tl

=====

La3Nd2Tl2 PBE-GGA optimized geometry; offset from the most stable computed form = 0.155 eV per atom; VASP energy = -29.20 eV per cell; space-group type = Cmmm (65); N(E_F) = 8.82 states/eV/cell; total magnetic moment = 0.00 μB/cell; formation enthalpy at 0 K = -22 meV per atom
1.0
2.518 -12.919 0.000
2.518 12.919 0.000
0.000 0.000 3.502
La Nd Tl
3 2 2
Cartesian
0.000 0.000 0.000 La
2.518 5.656 0.000 La
2.518 -5.656 0.000 La
2.518 9.596 0.000 Nd
2.518 -9.596 0.000 Nd
2.518 1.984 1.751 Tl
2.518 -1.984 1.751 Tl

=====

La7Nd12Tl PBE-GGA optimized geometry; VASP energy = -91.44 eV per cell; space-group type = R-3 (148); N(E_F) = 35.59 states/eV/cell; total magnetic moment = 0.00 μB/cell; formation enthalpy at 0 K = 131 meV per atom
1.0
6.317 3.647 5.227
-6.317 3.647 5.227
0.000 -7.294 5.227
La Nd Tl
7 12 1
Cartesian
0.000 0.000 0.000 La
-1.001 -3.819 5.697 La
-2.807 2.776 5.697 La
-3.808 -1.042 9.985 La
3.808 1.042 5.697 La
2.807 -2.776 9.985 La
1.001 3.819 9.985 La
-2.110 0.429 3.049 Nd
0.684 -2.042 3.049 Nd
-2.838 -0.791 6.676 Nd
1.427 1.613 3.049 Nd
-0.734 -2.853 9.005 Nd
2.104 -2.062 6.676 Nd
-2.104 2.062 9.005 Nd
0.734 2.853 6.676 Nd
-1.427 -1.613 12.633 Nd
2.838 0.791 9.005 Nd
-0.684 2.042 12.633 Nd
2.110 -0.429 12.633 Nd
0.000 0.000 7.841 Tl

=====

La5Nd4Tl2 PBE-GGA optimized geometry; VASP energy = -47.64 eV per cell; space-group type = Immm (71); N(E_F) = 16.55 states/eV/cell; total magnetic moment = 0.78 μB/cell; formation enthalpy at 0 K = 73 meV per atom
1.0
-1.836 4.992 11.051
1.836 -4.992 11.051
1.836 4.992 -11.051
La Nd Tl
5 4 2
Cartesian
0.000 0.000 0.000 La
1.836 2.123 -3.475 La
1.836 2.123 3.475 La
0.000 2.869 7.576 La
0.000 2.869 14.527 La
1.836 2.829 0.000 Nd
1.836 0.000 9.159 Nd
0.000 4.992 1.892 Nd
0.000 2.163 11.051 Nd
1.836 0.000 6.016 Tl
0.000 4.992 5.035 Tl